1.
DFT (PBE) results for a relaxed structure of Pm8Ir5Cl.

Lattice parameters (Å, degrees): 8.8825 8.8825 8.9125 90.00 90.00 90.00
With the nearest neighbours (Å) after each atom.
Space group I-4 (No. 82)
Inequivalent atoms, fractional coordinates:
Pm (0.0630, 0.3055, 0.0795) [8 per cell]  3 Ir 2.80-2.92
Pm (0.0653, 0.1800, 0.6884) [8 per cell]  2 Ir 2.83-2.87, 1 Cl 2.95
Ir (0.0000, 0.0000, 0.0000) [2 per cell]  4 Pm 2.86
Ir (0.1231, 0.2443, 0.3822) [8 per cell]  4 Pm 2.80-2.92
Cl (0.0000, 0.5000, 0.7500) [2 per cell]  4 Pm 2.95

Summary:
Formation energy without anion corrections = -0.75 eV per atom
Total magnetic moment = 0.000 μB per cell
ρ = 10.19 Mg/m³
Fermi-level density of states = 15.1 states/eV/cell

---

2.
DFT (PBE) results for a relaxed structure of Pm6Te3As2Au.

Lattice parameters (Å, degrees): 19.1276 4.3049 8.8483 90.00 103.94 90.00
With the nearest neighbours (Å) after each atom.
Space group C2/m (No. 12)
Inequivalent atoms, fractional coordinates:
Pm (0.0068, 0.0000, 0.2412) [4 per cell]  1 As 2.98, 2 Au 3.01, 3 Te 3.17-3.21
Pm (0.1654, 0.5000, 0.1025) [4 per cell]  2 As 2.97, 1 Au 3.07, 3 Te 3.13-3.22
Pm (0.1731, 0.5000, 0.5682) [4 per cell]  3 As 2.96, 3 Te 3.20-3.22
Te (0.0000, 0.5000, 0.5000) [2 per cell]  6 Pm 3.17-3.22
Te (0.1661, 0.0000, 0.8325) [4 per cell]  6 Pm 3.13-3.22
As (0.1674, 0.0000, 0.3352) [4 per cell]  6 Pm 2.96-2.98
Au (0.0000, 0.5000, 0.0000) [2 per cell]  6 Pm 3.01-3.07

Summary:
Formation energy without anion corrections = -1.38 eV per atom
Total magnetic moment = 0.000 μB per cell
ρ = 7.51 Mg/m³
Fermi-level density of states = 11.0 states/eV/cell

---

3.
DFT (PBE) results for a relaxed structure of MgRhAu.

Lattice parameters (Å, degrees): 4.3069 2.9707 4.5456 90.00 90.16 90.00
With the nearest neighbours (Å) after each atom.
Space group P2/m (No. 10)
Inequivalent atoms, fractional coordinates:
Mg (0.0000, 0.0000, 0.0000) [1 per cell]  4 Rh 2.62
Rh (0.5000, 0.5000, 0.0000) [1 per cell]  4 Mg 2.62, 4 Au 2.72
Au (0.5000, 0.0000, 0.5000) [1 per cell]  4 Rh 2.72, 2 Au 2.97

Summary:
Total magnetic moment = 0.000 μB per cell
ΔH_f (0 K) = -0.182 eV/atom
E above lowest polymorph = 14.6 kJ per mole of atoms
ρ = 9.26 Mg/m³
Fermi-level density of states = 1.9 states/eV/cell

---

4.
DFT (PBE) results for a relaxed structure of ZrCd3H.

Lattice parameters (Å, degrees): 4.4882 4.4882 4.4882 90.00 90.00 90.00
With the nearest neighbours (Å) after each atom.
Space group Pm-3m (No. 221)
Inequivalent atoms, fractional coordinates:
Zr (0.0000, 0.0000, 0.0000) [1 per cell]  12 Cd 3.17
Cd (0.0000, 0.5000, 0.5000) [3 per cell]  2 H 2.24
H (0.5000, 0.5000, 0.5000) [1 per cell]  6 Cd 2.24

Summary:
Total magnetic moment = 0.000 μB per cell
E above lowest polymorph = 0.0 kJ per mole of atoms
ρ = 7.89 Mg/m³
Fermi-level density of states = 3.3 states/eV/cell